(1)
Below is a PBEsol-optimized structure of LiZnCo2, with properties calculated at the SCAN level.

The total moment comes out at 3.2 μB/cell. For the total energy, the calculation gives -0.4622 Ha/atom. Its theoretical density is 6.7 Mg/m³.

The structure belongs to space group P4mm (No. 99); the cell edges are 2.577, 2.577 and 7.124 Å and the angles 90.00°, 90.00° and 90.00°. Symmetry generates all atoms from Li at (0.000, 0.000, 0.000), Zn at (0.500, 0.500, 0.286), Co at (0.000, 0.000, 0.532) and Co at (0.500, 0.500, 0.737).

=====

(2)
Below is a PBEsol-optimized structure of LiSBr3, with properties calculated at the SCAN level.

The value obtained for the formation energy (no corrections) is 9.64 kJ per mole of atoms. The total moment comes out at 3.5 μB/cell. For the total energy, the calculation gives -0.5137 Ha/atom. Its theoretical density is 4.0 Mg/m³.

The structure belongs to space group Pm-3m (No. 221); the cell edges are 4.891, 4.891 and 4.891 Å and the angles 90.00°, 90.00° and 90.00°. Symmetry generates all atoms from Li at (0.000, 0.000, 0.000), S at (0.500, 0.500, 0.500) and Br at (0.000, 0.000, 0.500).

=====

(3)
Below is a PBEsol-optimized structure of CrAs2Ir, with properties calculated at the SCAN level.

The total moment comes out at 5.2 μB/cell. For the total energy, the calculation gives -1.1912 Ha/atom. Its theoretical density is 11.5 Mg/m³.

The structure belongs to space group C2/m (No. 12); the cell edges are 7.836, 2.916 and 5.116 Å and the angles 90.00°, 102.99° and 90.00°. Symmetry generates all atoms from Cr at (0.000, 0.000, 0.000), As at (0.246, 0.500, 0.231) and Ir at (0.000, 0.500, 0.500).

=====

(4)
Below is a PBEsol-optimized structure of Zn13Fe, with properties calculated at the SCAN level.

The total moment comes out at 2.5 μB/cell. For the total energy, the calculation gives -0.5096 Ha/atom. Its theoretical density is 7.8 Mg/m³.

The structure belongs to space group C2/m (No. 12); the cell edges are 10.553, 7.402 and 5.001 Å and the angles 90.00°, 101.05° and 90.00°. Symmetry generates all atoms from Zn at (0.000, 0.000, 0.000), Zn at (0.076, 0.294, 0.317), Zn at (0.114, 0.500, 0.937), Zn at (0.175, 0.180, 0.801), Zn at (0.222, 0.000, 0.374) and Fe at (0.000, 0.000, 0.500).

=====

(5)
Below is a PBEsol-optimized structure of BeCd2Si, with properties calculated at the SCAN level.

The value obtained for the formation energy (no corrections) is 38.70 kJ per mole of atoms. The total moment comes out at 0.0 μB/cell. For the total energy, the calculation gives -0.6761 Ha/atom. Its theoretical density is 6.4 Mg/m³.

The structure belongs to space group Pmm2 (No. 25); the cell edges are 2.685, 3.528 and 7.205 Å and the angles 90.00°, 90.00° and 90.00°. Symmetry generates all atoms from Be at (0.000, 0.000, 0.000), Cd at (0.000, 0.000, 0.573), Cd at (0.500, 0.500, 0.264) and Si at (0.500, 0.500, 0.867).

=====

(6)
Below is a PBEsol-optimized structure of Ag2AsIr, with properties calculated at the SCAN level.

The total moment comes out at 0.9 μB/cell. For the total energy, the calculation gives -1.3992 Ha/atom. Its theoretical density is 12.2 Mg/m³.

The structure belongs to space group P4/mmm (No. 123); the cell edges are 2.742, 2.742 and 8.726 Å and the angles 90.00°, 90.00° and 90.00°. Symmetry generates all atoms from Ag at (0.000, 0.000, 0.238), As at (0.500, 0.500, 0.500) and Ir at (0.500, 0.500, 0.000).

=====

(7)
Below is a PBEsol-optimized structure of Ba2HgMo, with properties calculated at the SCAN level.

The total moment comes out at 5.3 μB/cell. For the total energy, the calculation gives -1.6491 Ha/atom. Its theoretical density is 7.1 Mg/m³.

The structure belongs to space group C2/m (No. 12); the cell edges are 8.402, 3.577 and 9.045 Å and the angles 90.00°, 98.74° and 90.00°. Symmetry generates all atoms from Ba at (0.248, 0.000, 0.228), Hg at (0.000, 0.000, 0.500) and Mo at (0.000, 0.500, 0.000).

=====

(8)
Below is a PBEsol-optimized structure of TiPSCl2, with properties calculated at the SCAN level.

The value obtained for the formation energy (no corrections) is 41.64 kJ per mole of atoms. The total moment comes out at 1.9 μB/cell. For the total energy, the calculation gives -0.3664 Ha/atom. Its theoretical density is 3.1 Mg/m³.

The structure belongs to space group P4/mmm (No. 123); the cell edges are 4.493, 4.493 and 4.881 Å and the angles 90.00°, 90.00° and 90.00°. Symmetry generates all atoms from Ti at (0.000, 0.000, 0.000), P at (0.500, 0.500, 0.000), S at (0.500, 0.500, 0.500) and Cl at (0.000, 0.500, 0.500).